(1)
DFT (PBE) results for a relaxed LuMnInRu crystal. Values from VASP.

```
&SYSTEM
  ibrav = 0, nat = 16, ntyp = 4
/
ATOMIC_SPECIES
Lu 174.97 Lu.upf
Mn 54.94 Mn.upf
In 114.82 In.upf
Ru 101.07 Ru.upf
CELL_PARAMETERS angstrom
6.598 0.000 0.000
0.000 6.598 0.000
0.000 0.000 6.598
ATOMIC_POSITIONS angstrom
Lu 0.000 0.000 0.000
Lu 0.000 3.299 3.299
Lu 3.299 0.000 3.299
Lu 3.299 3.299 0.000
Mn 1.650 1.650 1.650
Mn 1.650 4.949 4.949
Mn 4.949 1.650 4.949
Mn 4.949 4.949 1.650
In 0.000 0.000 3.299
In 0.000 3.299 0.000
In 3.299 0.000 0.000
In 3.299 3.299 3.299
Ru 1.650 1.650 4.949
Ru 1.650 4.949 1.650
Ru 4.949 1.650 1.650
Ru 4.949 4.949 4.949
```

DOS at the Fermi energy: 1.3 states/eV/f.u.
calculated volume: 287 Å³ per cell
electronic total energy: -105.09 eV/cell
ΔE_f: -142.0 meV per atom
spin magnetization: 0.79 μB/atom

(2)
DFT (PBE) results for a relaxed La4AgGeO crystal. Values from VASP.

```
&SYSTEM
  ibrav = 0, nat = 14, ntyp = 4
/
ATOMIC_SPECIES
La 138.91 La.upf
Ag 107.87 Ag.upf
Ge 72.64 Ge.upf
O 16.00 O.upf
CELL_PARAMETERS angstrom
3.468 -8.016 0.000
3.468 8.016 0.000
0.000 0.000 6.943
ATOMIC_POSITIONS angstrom
La 1.734 4.008 0.000
La 1.734 4.008 3.471
La 3.468 6.907 5.207
La 3.468 1.131 5.207
La 1.734 -4.008 0.000
La 1.734 -4.008 3.471
La 3.468 -1.131 1.736
La 3.468 -6.907 1.736
Ag 3.468 1.869 1.736
Ag 3.468 -1.869 5.207
Ge 3.468 6.113 1.736
Ge 3.468 -6.113 5.207
O 3.468 3.924 5.207
O 3.468 -3.924 1.736
```

DOS at the Fermi energy: 4.6 states/eV/f.u.
calculated volume: 386 Å³ per cell
electronic total energy: -79.66 eV/cell
spin magnetization: 0.00 μB/atom

(3)
DFT (PBE) results for a relaxed ZrCu2Re crystal. Values from VASP.

```
&SYSTEM
  ibrav = 0, nat = 8, ntyp = 3
/
ATOMIC_SPECIES
Zr 91.22 Zr.upf
Cu 63.55 Cu.upf
Re 186.21 Re.upf
CELL_PARAMETERS angstrom
3.851 0.000 0.000
0.000 3.851 0.000
0.000 0.000 8.287
ATOMIC_POSITIONS angstrom
Zr 0.000 0.000 0.000
Zr 1.925 1.925 4.144
Cu 0.000 0.000 4.144
Cu 0.000 1.925 6.216
Cu 1.925 0.000 2.072
Cu 1.925 1.925 0.000
Re 0.000 1.925 2.072
Re 1.925 0.000 6.216
```

DOS at the Fermi energy: 3.8 states/eV/f.u.
calculated volume: 123 Å³ per cell
electronic total energy: -56.94 eV/cell
ΔE_f: 179.6 meV per atom
spin magnetization: 0.14 μB/atom

(4)
DFT (PBE) results for a relaxed Cs2SrH6Ir crystal. Values from VASP.

```
&SYSTEM
  ibrav = 0, nat = 10, ntyp = 4
/
ATOMIC_SPECIES
Cs 132.91 Cs.upf
Sr 87.62 Sr.upf
H 1.01 H.upf
Ir 192.22 Ir.upf
CELL_PARAMETERS angstrom
6.558 0.000 0.000
-3.279 5.679 0.000
0.000 0.000 6.219
ATOMIC_POSITIONS angstrom
Cs 0.000 3.786 0.774
Cs 3.279 1.893 5.446
Sr 0.000 0.000 3.110
H 0.000 1.387 5.240
H -2.078 4.986 5.240
H 1.201 0.693 0.979
H 2.078 4.986 5.240
H 5.357 0.693 0.979
H 3.279 4.293 0.979
Ir 0.000 0.000 0.000
```

DOS at the Fermi energy: 2.4 states/eV/f.u.
calculated volume: 232 Å³ per cell
electronic total energy: -36.17 eV/cell
spin magnetization: 0.03 μB/atom

(5)
DFT (PBE) results for a relaxed Al2IrOs crystal. Values from VASP.

```
&SYSTEM
  ibrav = 0, nat = 4, ntyp = 3
/
ATOMIC_SPECIES
Al 26.98 Al.upf
Ir 192.22 Ir.upf
Os 190.23 Os.upf
CELL_PARAMETERS angstrom
3.159 0.000 0.000
0.000 3.159 0.000
0.000 0.000 5.748
ATOMIC_POSITIONS angstrom
Al 0.000 0.000 0.000
Al 1.580 1.580 1.526
Ir 0.000 0.000 2.724
Os 1.580 1.580 4.609
```

DOS at the Fermi energy: 3.2 states/eV/f.u.
calculated volume: 57 Å³ per cell
electronic total energy: -28.84 eV/cell
ΔE_f: -315.9 meV per atom
spin magnetization: 0.00 μB/atom

(6)
DFT (PBE) results for a relaxed Sr3Cu2Ir crystal. Values from VASP.

```
&SYSTEM
  ibrav = 0, nat = 24, ntyp = 3
/
ATOMIC_SPECIES
Sr 87.62 Sr.upf
Cu 63.55 Cu.upf
Ir 192.22 Ir.upf
CELL_PARAMETERS angstrom
12.378 0.000 0.000
0.000 4.379 0.000
0.000 0.000 12.580
ATOMIC_POSITIONS angstrom
Sr 0.736 1.095 1.592
Sr 1.393 3.284 6.917
Sr 2.656 1.095 10.003
Sr 3.533 3.284 3.713
Sr 4.796 1.095 0.627
Sr 5.453 3.284 7.882
Sr 6.925 1.095 4.698
Sr 7.582 3.284 11.953
Sr 8.846 1.095 8.867
Sr 9.722 3.284 2.577
Sr 10.985 1.095 5.663
Sr 11.642 3.284 10.988
Cu 0.444 3.284 3.956
Cu 2.565 3.284 12.319
Cu 3.624 1.095 6.029
Cu 5.746 1.095 10.246
Cu 6.633 3.284 2.334
Cu 8.754 3.284 6.551
Cu 9.813 1.095 0.261
Cu 11.935 1.095 8.624
Ir 1.560 1.095 4.605
Ir 4.629 3.284 10.895
Ir 7.750 1.095 1.685
Ir 10.818 3.284 7.975
```

DOS at the Fermi energy: 4.7 states/eV/f.u.
calculated volume: 682 Å³ per cell
electronic total energy: -91.77 eV/cell
ΔE_f: -140.6 meV per atom
spin magnetization: 0.00 μB/atom

(7)
DFT (PBE) results for a relaxed AcAg3S3 crystal. Values from VASP.

```
&SYSTEM
  ibrav = 0, nat = 14, ntyp = 3
/
ATOMIC_SPECIES
Ac 227.00 Ac.upf
Ag 107.87 Ag.upf
S 32.06 S.upf
CELL_PARAMETERS angstrom
3.738 2.158 7.017
-3.738 2.158 7.017
0.000 -4.316 7.017
ATOMIC_POSITIONS angstrom
Ac 0.000 0.000 3.501
Ac 0.000 0.000 17.550
Ag -1.216 -2.115 7.936
Ag -2.440 -0.004 13.115
Ag -1.224 2.111 7.936
Ag 1.224 -2.111 13.115
Ag 2.440 0.004 7.936
Ag 1.216 2.115 13.115
S -2.570 -0.009 8.817
S -1.277 -2.230 12.234
S 1.292 -2.221 8.817
S -1.292 2.221 12.234
S 1.277 2.230 8.817
S 2.570 0.009 12.234
```

calculated volume: 340 Å³ per cell
electronic total energy: -61.07 eV/cell
spin magnetization: 0.00 μB/atom

(8)
DFT (PBE) results for a relaxed CrRu2Se crystal. Values from VASP.

```
&SYSTEM
  ibrav = 0, nat = 4, ntyp = 3
/
ATOMIC_SPECIES
Cr 52.00 Cr.upf
Ru 101.07 Ru.upf
Se 78.96 Se.upf
CELL_PARAMETERS angstrom
2.899 0.000 0.000
0.000 4.356 0.000
0.000 0.000 4.519
ATOMIC_POSITIONS angstrom
Cr 0.000 0.000 0.000
Ru 0.000 2.178 2.259
Ru 1.449 2.178 0.000
Se 1.449 0.000 2.259
```

DOS at the Fermi energy: 5.4 states/eV/f.u.
calculated volume: 57 Å³ per cell
electronic total energy: -30.16 eV/cell
spin magnetization: 0.24 μB/atom